[1]
Al4Ni5Au, optimized geometry, DFT PBE; total DFT energy (no corrections) = -52.41 eV for the cell shown; D(E_F) = 6.856 states/eV/cell
1.0
2.926 0.000 0.000
0.000 2.926 0.000
0.000 0.000 14.670
Al Ni Au
4 5 1
Direct
0.000 0.000 0.096 Al
0.000 0.000 0.291 Al
0.000 0.000 0.709 Al
0.000 0.000 0.904 Al
0.500 0.500 0.000 Ni
0.500 0.500 0.192 Ni
0.500 0.500 0.381 Ni
0.500 0.500 0.619 Ni
0.500 0.500 0.808 Ni
0.000 0.000 0.500 Au

---

[2]
Al2NiPbAu, optimized geometry, DFT PBE; total DFT energy (no corrections) = -20.16 eV for the cell shown; D(E_F) = 1.874 states/eV/cell
1.0
4.517 0.000 0.000
0.000 4.517 0.000
0.000 0.000 5.057
Al Ni Pb Au
2 1 1 1
Direct
0.000 0.500 0.000 Al
0.500 0.000 0.000 Al
0.000 0.000 0.000 Ni
0.500 0.500 0.500 Pb
0.000 0.000 0.500 Au

---

Number 1: energy relative to the elements -0.53 eV per atom. Number 2: energy relative to the elements 0.02 eV per atom.